1.
An optimized crystal structure of Al2BH2, computed with PBE-GGA.

Cell and atoms, written as extended XYZ:
```
5
Lattice="-1.695 -2.335 -2.560 -1.001 -2.398 2.850 -3.895 -0.894 0.489" Properties=species:S:1:pos:R:3 pbc="T T T"
B 0.000 0.000 0.000
H -4.874 -3.474 0.585
H -1.717 -2.153 0.195
Al -3.469 -2.798 -0.962
Al -3.122 -2.830 1.743
```

Output
E_tot	-0.2770	Ry per atom
polymorph energy (0 for the lowest one)	0	meV/atom
Fermi-level density of states	1.00	states/eV/f.u.

---

2.
An optimized crystal structure of Re2IrW, computed with PBE-GGA.

Cell and atoms, written as extended XYZ:
```
4
Lattice="-3.826 0.641 -0.697 0.136 -2.478 -3.026 -0.930 -2.962 2.383" Properties=species:S:1:pos:R:3 pbc="T T T"
Re 0.000 0.000 0.000
Re -0.397 -2.720 -0.321
Ir -2.378 -1.160 0.843
W -1.845 -0.918 -1.861
```

Output
E_tot	-0.8654	Ry per atom
polymorph energy (0 for the lowest one)	0	meV/atom
E_form	-0.096	eV per atom
Fermi-level density of states	2.98	states/eV/f.u.

---

3.
An optimized crystal structure of SmGdTh, computed with PBE-GGA.

Cell and atoms, written as extended XYZ:
```
3
Lattice="-3.356 0.040 -1.319 -1.237 -1.352 3.106 1.331 7.679 1.778" Properties=species:S:1:pos:R:3 pbc="T T T"
Th -2.617 1.673 1.779
Sm -0.630 4.577 1.741
Gd -0.016 0.118 0.045
```

Output
E_tot	-0.6406	Ry per atom
E_form	0.024	eV per atom
Fermi-level density of states	3.80	states/eV/f.u.

---

4.
An optimized crystal structure of Li3NpCd2S6, computed with PBE-GGA.

Cell and atoms, written as extended XYZ:
```
12
Lattice="6.567 0.003 -0.002 -3.280 5.690 -0.002 -1.098 -1.902 6.222" Properties=species:S:1:pos:R:3 pbc="T T T"
Np 0.000 0.000 0.000
Cd 3.294 1.893 -0.002
Cd -0.006 3.799 -0.002
S 2.230 3.861 1.549
S 3.249 1.967 4.631
S -0.040 -0.070 4.669
S 2.109 -0.006 1.588
S 0.080 3.797 4.631
S -1.059 1.824 1.588
Li 4.381 -0.002 3.109
Li 1.095 1.895 3.109
Li -2.191 3.793 3.109
```

Output
raw formation energy	-1.003	eV/atom
E_tot	-0.3510	Ry per atom
Fermi-level density of states	7.23	states/eV/f.u.

---

5.
An optimized crystal structure of SnHgBr2, computed with PBE-GGA.

Cell and atoms, written as extended XYZ:
```
4
Lattice="4.347 0.000 0.000 2.174 3.765 0.000 2.174 1.255 10.062" Properties=species:S:1:pos:R:3 pbc="T T T"
Sn 4.347 2.510 0.004
Hg 4.347 2.510 5.022
Br 2.174 1.255 1.688
Br 2.174 1.255 8.378
```

Output
raw formation energy	-0.539	eV/atom
E_tot	-0.1802	Ry per atom
polymorph energy (0 for the lowest one)	0	meV/atom
Fermi-level density of states	0.00	states/eV/f.u.

---

6.
An optimized crystal structure of Cd2TeAu, computed with PBE-GGA.

Cell and atoms, written as extended XYZ:
```
4
Lattice="-0.518 -5.307 -4.755 -3.665 -6.127 -0.266 0.011 7.037 1.240" Properties=species:S:1:pos:R:3 pbc="T T T"
Au -2.737 -2.034 -0.606
Cd -1.389 -2.239 -3.121
Cd -0.233 -0.638 -0.280
Te -1.904 -5.205 -2.285
```

Output
raw formation energy	-0.071	eV/atom
E_tot	-0.1568	Ry per atom
Fermi-level density of states	1.68	states/eV/f.u.

---

7.
An optimized crystal structure of ZrCuRh3, computed with PBE-GGA.

Cell and atoms, written as extended XYZ:
```
10
Lattice="-2.603 -2.754 -0.921 3.739 -3.967 1.295 -4.100 4.643 5.962" Properties=species:S:1:pos:R:3 pbc="T T T"
Rh 0.895 -0.952 0.317
Rh -1.896 1.027 2.290
Rh -1.775 -1.367 0.846
Rh -1.068 -3.105 4.046
Rh -1.190 -0.711 5.489
Rh -3.860 -1.126 6.019
Cu -0.163 -0.838 2.969
Cu -2.801 -1.240 3.367
Zr 0.021 -3.320 1.610
Zr -2.986 1.242 4.725
```

Output
E_tot	-0.5382	Ry per atom
polymorph energy (0 for the lowest one)	0	meV/atom
E_form	-0.382	eV per atom
Fermi-level density of states	4.77	states/eV/f.u.

---

8.
An optimized crystal structure of LiInTeS4, computed with PBE-GGA.

Cell and atoms, written as extended XYZ:
```
14
Lattice="-3.217 -6.533 2.376 2.979 -3.735 6.112 -3.857 -0.144 6.730" Properties=species:S:1:pos:R:3 pbc="T T T"
Te 0.000 0.000 0.000
Te -0.439 -1.940 6.421
S -1.148 -7.759 8.123
S -2.766 -5.826 4.931
S -1.124 -2.523 3.887
S -4.593 -5.994 8.310
S -2.947 -2.653 7.095
S 0.498 -4.418 6.907
S -2.970 -7.889 11.330
S -1.329 -4.586 10.287
Li -0.659 -6.467 6.021
Li -3.436 -3.945 9.196
In -1.928 -0.072 3.365
In -3.537 -3.338 4.553
```

Output
raw formation energy	-0.482	eV/atom
E_tot	-0.2906	Ry per atom

---

Short version: magnetization = 0.00 0.00 7.30 2.00 0.00 0.00 0.00 0.00 μB/f.u., in the order given.